Record 1
A plane-wave DFT calculation with PBE-GGA was carried out for a relaxed structure of SmScTi4.

The structure belongs to space group F-43m (No. 216); the cell edges are 8.0947, 8.0947 and 8.0947 Å and the angles 90.00°, 90.00° and 90.00°. The inequivalent atoms are Sm at (0.0000, 0.0000, 0.0000), Sc at (0.2500, 0.2500, 0.2500) and Ti at (0.1231, 0.1231, 0.6231).

The final energy is -6.8348 eV per atom. The calculation puts the calculated volume at 22.10 A^3/atom.

***

Record 2
A plane-wave DFT calculation with PBE-GGA was carried out for a relaxed structure of Sm2ScTi.

The structure belongs to space group P4/mmm (No. 123); the cell edges are 4.8332, 4.8332 and 4.5301 Å and the angles 90.00°, 90.00° and 90.00°. The inequivalent atoms are Sm at (0.0000, 0.5000, 0.0000), Sc at (0.0000, 0.0000, 0.5000) and Ti at (0.5000, 0.5000, 0.5000).

For the offset from the most stable computed form, the calculation gives 0.25 kcal/mol of atoms. The calculation puts the calculated volume at 26.46 A^3/atom.